! Cr2InTc (PBE, optimized geometry); values from VASP
&SYSTEM
  ibrav = 0, nat = 4, ntyp = 3
/
ATOMIC_SPECIES
Cr 52.00 Cr.upf
In 114.82 In.upf
Tc 98.00 Tc.upf
ATOMIC_POSITIONS crystal
Cr 0.0000 0.0000 0.0000
Cr 0.2500 0.2500 0.2500
In 0.5000 0.5000 0.5000
Tc 0.7500 0.7500 0.7500
CELL_PARAMETERS angstrom
0.0000 3.1345 3.1345
3.1345 0.0000 3.1345
3.1345 3.1345 0.0000
! N(E_F), states/eV per cell: 3.41
! E_tot, eV/f.u.: -31.00